[1]
Density functional theory data (PBE) for crystalline La5CeHg3 at its relaxed geometry.

The structure in POSCAR format:
```
La5CeHg3
1.0
7.091 0.000 0.000
0.000 9.559 0.000
0.000 -4.779 8.278
Hg La Ce
6 10 2
direct
0.750 0.000 0.661
0.750 0.661 0.000
0.250 0.661 0.661
0.250 0.339 0.000
0.250 0.000 0.339
0.750 0.339 0.339
0.500 0.667 0.333
0.750 0.676 0.676
0.250 0.324 0.324
0.750 0.000 0.324
0.250 0.676 0.000
0.500 0.333 0.667
0.250 0.000 0.676
0.750 0.324 0.000
0.000 0.667 0.333
0.000 0.333 0.667
0.500 0.000 0.000
0.000 0.000 0.000
```

Space-group type   P6_3/mcm, No. 193
Calculated formation energy   -2.40 eV per formula unit

[2]
Density functional theory data (PBE) for crystalline La2CeHg4 at its relaxed geometry.

The structure in POSCAR format:
```
La2CeHg4
1.0
-5.497 1.632 0.570
-1.519 -5.467 1.008
4.666 3.054 7.120
Hg La Ce
4 2 1
direct
0.194 0.194 0.389
0.000 0.500 0.000
0.806 0.806 0.611
0.500 0.000 0.000
0.605 0.605 0.209
0.395 0.395 0.791
0.000 0.000 0.000
```

Space-group type   I4/mmm, No. 139
Energy above the most stable polymorph in this dataset   2.35 eV/f.u.
Calculated formation energy   0.02 eV per formula unit